(1)
# TiZn4Re | Alexandria via LeMat-Bulk | PBE | optimized geometry
data_TiZn4Re
_cell_length_a 6.961
_cell_length_b 6.961
_cell_length_c 6.961
_cell_angle_alpha 90.00
_cell_angle_beta 90.00
_cell_angle_gamma 90.00
_symmetry_space_group_name_H-M 'F -4 3 m'
_symmetry_Int_Tables_number 216
_symmetry_space_group_name_Hall 'F -4 2 3'
loop_
_atom_site_label
_atom_site_type_symbol
_atom_site_fract_x
_atom_site_fract_y
_atom_site_fract_z
Ti1 Ti 0.000 0.000 0.000
Zn1 Zn 0.125 0.125 0.375
Re1 Re 0.250 0.250 0.750
# volume	14.05	A^3/atom



(2)
# ZrTiZn2Re | Alexandria via LeMat-Bulk | PBE | optimized geometry
data_ZrTiZn2Re
_cell_length_a 4.938
_cell_length_b 4.938
_cell_length_c 4.723
_cell_angle_alpha 90.00
_cell_angle_beta 90.00
_cell_angle_gamma 90.00
_symmetry_space_group_name_H-M 'P 4/m m m'
_symmetry_Int_Tables_number 123
_symmetry_space_group_name_Hall '-P 4 2'
loop_
_atom_site_label
_atom_site_type_symbol
_atom_site_fract_x
_atom_site_fract_y
_atom_site_fract_z
Zr1 Zr 0.000 0.000 0.000
Ti1 Ti 0.500 0.500 0.500
Zn1 Zn 0.000 0.500 0.000
Re1 Re 0.000 0.000 0.500
# volume	23.03	A^3/atom



(3)
# ZrTiZnRe | Alexandria via LeMat-Bulk | PBE | optimized geometry
data_ZrTiZnRe
_cell_length_a 6.478
_cell_length_b 6.478
_cell_length_c 6.478
_cell_angle_alpha 90.00
_cell_angle_beta 90.00
_cell_angle_gamma 90.00
_symmetry_space_group_name_H-M 'F -4 3 m'
_symmetry_Int_Tables_number 216
_symmetry_space_group_name_Hall 'F -4 2 3'
loop_
_atom_site_label
_atom_site_type_symbol
_atom_site_fract_x
_atom_site_fract_y
_atom_site_fract_z
Zr1 Zr 0.000 0.000 0.000
Ti1 Ti 0.000 0.000 0.500
Zn1 Zn 0.250 0.250 0.750
Re1 Re 0.250 0.250 0.250
# volume	16.99	A^3/atom



no.,calculated total energy (eV/atom),ΔE_f (meV per atom)
1,-4.3256,-86
2,-4.7623,1526
3,-7.7709,-230